Record 1
# AcNdInGe

A relaxed AcNdInGe crystal (PBE-GGA, Alexandria).

space-group type	No. 216
DFT formation energy	-0.447	eV per atom

Lattice parameters (Å, degrees): 5.521 5.521 5.521 60.00 60.00 60.00
Element x y z (fractional)
Ge 0.250 0.250 0.250
Nd 0.500 0.500 0.500
Ac 0.000 0.000 0.000
In 0.750 0.750 0.750

=====

Record 2
# Ti12Be6Si

A relaxed Ti12Be6Si crystal (PBE-GGA, Alexandria).

space-group type	No. 204

Lattice parameters (Å, degrees): 7.078 7.078 7.078 109.47 109.47 109.47
Element x y z (fractional)
Ti 0.722 0.538 0.815
Ti 0.093 0.815 0.278
Ti 0.278 0.093 0.815
Ti 0.815 0.722 0.538
Be 0.625 0.500 0.125
Ti 0.185 0.722 0.907
Ti 0.538 0.815 0.722
Ti 0.722 0.907 0.185
Be 0.125 0.625 0.500
Si 0.000 0.000 0.000
Ti 0.462 0.185 0.278
Ti 0.185 0.278 0.462
Ti 0.907 0.185 0.722
Be 0.500 0.125 0.625
Ti 0.815 0.278 0.093
Be 0.500 0.875 0.375
Be 0.875 0.375 0.500
Ti 0.278 0.462 0.185
Be 0.375 0.500 0.875

=====

Calculated raw total energy in order - -18.0; -123.4 eV per formula unit
Calculated volume in order - 119.0; 273.0 Å³/cell